Entry 1:
{"formula": "CaAcBi", "functional": "PBE", "state": "relaxed", "mass_density_g_cm3": 7.1, "e_tot_ev_per_cell": -11.5, "dos_ef_per_ev_atom": 0.742, "cell": [[4.5786, 0.0000, 0.0000], [0.0000, 5.3137, 0.0000], [0.0000, -2.6568, 4.6018]], "species": ["Bi", "Ac", "Ca"], "frac_coords": [[0.5012, 0.6667, 0.3333], [0.9997, 0.0000, 0.0000], [0.4991, 0.3333, 0.6667]]}


Entry 2:
{"formula": "Ca2ErTl", "functional": "PBE", "state": "relaxed", "mass_density_g_cm3": 5.2, "e_tot_ev_per_cell": -10.5, "dos_ef_per_ev_atom": 1.334, "cell": [[3.6525, 0.0000, 0.0000], [1.8262, 3.1631, 0.0000], [1.8262, 1.0544, 12.5165]], "species": ["Tl", "Er", "Ca", "Ca"], "frac_coords": [[0.0000, 0.0000, 0.0000], [0.5000, 0.5000, 0.5000], [0.0869, 0.0869, 0.7394], [0.9131, 0.9131, 0.2606]]}